(1)
Here is an optimized crystal structure of Zr2AlCoC from the Alexandria database. Energies are from PBE.

Lattice parameters (Å, degrees): 4.565 4.565 3.783 90.00 90.00 90.00
Atoms (fractional coordinates):
Zr: 0.000 0.500 0.000
Zr: 0.500 0.000 0.000
Al: 0.000 0.000 0.500
Co: 0.500 0.500 0.500
C: 0.500 0.500 0.000

- spin magnetization (μB/cell) = 0.8
- energy of formation from the pure elements (eV/atom) = -0.3597
- D(E_F) (states/eV/cell) = 3.5

***

(2)
Here is an optimized crystal structure of Ba6Tl2PtRh from the Alexandria database. Energies are from PBE.

Lattice parameters (Å, degrees): 8.469 8.495 8.499 118.40 91.27 119.78
Atoms (fractional coordinates):
Ba: 0.194 0.497 0.188
Ba: 0.263 0.414 0.658
Ba: 0.302 0.005 0.804
Ba: 0.698 0.995 0.196
Ba: 0.737 0.586 0.342
Ba: 0.806 0.503 0.812
Tl: 0.254 0.990 0.238
Tl: 0.746 0.010 0.762
Pt: 0.000 0.500 0.500
Rh: 0.500 0.500 0.000

- spin magnetization (μB/cell) = 0.0
- energy of formation from the pure elements (eV/atom) = -0.3483
- D(E_F) (states/eV/cell) = 9.1

***

(3)
Here is an optimized crystal structure of Sr2Tl3SnS6 from the Alexandria database. Energies are from PBE.

Lattice parameters (Å, degrees): 7.372 7.372 7.510 100.18 100.18 120.47
Atoms (fractional coordinates):
Sr: 0.164 0.836 0.000
Sr: 0.836 0.164 0.000
Tl: 0.000 0.000 0.500
Tl: 0.333 0.667 0.500
Tl: 0.667 0.333 0.500
Sn: 0.500 0.500 0.000
S: 0.134 0.425 0.792
S: 0.278 0.278 0.222
S: 0.425 0.134 0.792
S: 0.575 0.866 0.208
S: 0.722 0.722 0.778
S: 0.866 0.575 0.208

- spin magnetization (μB/cell) = 0.0
- formation energy from raw total energies (meV per atom) = -891
- D(E_F) (states/eV/cell) = 5.5

***

(4)
Here is an optimized crystal structure of Sm4CdIn2Ag from the Alexandria database. Energies are from PBE.

Lattice parameters (Å, degrees): 9.327 9.327 9.327 33.54 33.54 33.54
Atoms (fractional coordinates):
Sm: 0.123 0.123 0.123
Sm: 0.373 0.373 0.373
Sm: 0.627 0.627 0.627
Sm: 0.877 0.877 0.877
Cd: 0.500 0.500 0.500
In: 0.248 0.248 0.248
In: 0.752 0.752 0.752
Ag: 0.000 0.000 0.000

- spin magnetization (μB/cell) = 1.0
- energy of formation from the pure elements (eV/atom) = -0.3969
- D(E_F) (states/eV/cell) = 8.4

***

(5)
Here is an optimized crystal structure of Ca4BeCr from the Alexandria database. Energies are from PBE.

Lattice parameters (Å, degrees): 6.520 6.520 6.520 60.00 60.00 60.00
Atoms (fractional coordinates):
Ca: 0.125 0.125 0.125
Ca: 0.125 0.125 0.625
Ca: 0.125 0.625 0.125
Ca: 0.625 0.125 0.125
Be: 0.500 0.500 0.500
Cr: 0.750 0.750 0.750

- spin magnetization (μB/cell) = 4.6
- energy of formation from the pure elements (eV/atom) = 1.0001
- D(E_F) (states/eV/cell) = 5.2

***

(6)
Here is an optimized crystal structure of LaAl4Te from the Alexandria database. Energies are from PBE.

Lattice parameters (Å, degrees): 5.711 5.711 5.711 60.00 60.00 60.00
Atoms (fractional coordinates):
La: 0.000 0.000 0.000
Al: 0.374 0.374 0.374
Al: 0.374 0.374 0.878
Al: 0.374 0.878 0.374
Al: 0.878 0.374 0.374
Te: 0.750 0.750 0.750

- spin magnetization (μB/cell) = 0.0
- formation energy from raw total energies (meV per atom) = -220
- D(E_F) (states/eV/cell) = 3.6